[1]
A relaxed structure of Cd2Pt2Au15. Source: the Alexandria database, functional PBE.

Computed properties:
N(E_F) = 0.41 states/eV/atom
Symmetry = R-3m
Formation enthalpy at 0 K = 0.0951 eV per atom
DFT total energy = -3.224 eV per atom
M_tot = 0.00 μB per formula unit

a = 7.2734 Å, b = 7.2734 Å, c = 7.2734 Å
α = 81.99°, β = 81.99°, γ = 81.99°
Fractional coordinates of all 19 atoms:
Pt  0.9024  0.9024  0.9024
Pt  0.0976  0.0976  0.0976
Au  0.3547  0.8463  0.3547
Au  0.0000  0.6973  0.3027
Au  0.6973  0.3027  0.0000
Au  0.3027  0.0000  0.6973
Au  0.0000  0.0000  0.5000
Au  0.0000  0.5000  0.0000
Au  0.5000  0.0000  0.0000
Au  0.8463  0.3547  0.3547
Au  0.3547  0.3547  0.8463
Au  0.1537  0.6453  0.6453
Au  0.6973  0.0000  0.3027
Au  0.3027  0.6973  0.0000
Au  0.6453  0.1537  0.6453
Au  0.0000  0.3027  0.6973
Au  0.6453  0.6453  0.1537
Cd  0.6991  0.6991  0.6991
Cd  0.3009  0.3009  0.3009

---

[2]
A relaxed structure of Ho6BiC. Source: the Alexandria database, functional PBE.

Computed properties:
N(E_F) = 1.34 states/eV/atom
Symmetry = P-1
Formation enthalpy at 0 K = -0.1112 eV per atom
DFT total energy = -5.183 eV per atom
M_tot = 0.00 μB per formula unit

a = 6.5764 Å, b = 6.6345 Å, c = 7.2011 Å
α = 63.09°, β = 63.71°, γ = 60.39°
Fractional coordinates of all 8 atoms:
Ho  0.3966  0.8020  0.7733
Ho  0.9713  0.6018  0.2270
Ho  0.8005  0.0251  0.7703
Ho  0.0287  0.3982  0.7730
Ho  0.6034  0.1980  0.2267
Ho  0.1995  0.9749  0.2297
Bi  0.5000  0.5000  0.5000
C  0.0000  0.0000  0.0000

---

[3]
A relaxed structure of Zr6SnHg2. Source: the Alexandria database, functional PBE.

Computed properties:
N(E_F) = 1.38 states/eV/atom
Symmetry = P-62m
Formation enthalpy at 0 K = -0.1858 eV per atom
DFT total energy = -6.396 eV per atom
M_tot = 0.00 μB per formula unit

a = 3.7843 Å, b = 7.9409 Å, c = 7.9409 Å
α = 120.00°, β = 90.00°, γ = 90.00°
Fractional coordinates of all 9 atoms:
Zr  0.0000  0.7248  0.0000
Zr  0.0000  0.0000  0.7248
Zr  0.5000  0.6080  0.6080
Zr  0.5000  0.0000  0.3920
Zr  0.0000  0.2752  0.2752
Zr  0.5000  0.3920  0.0000
Hg  0.0000  0.3333  0.6667
Hg  0.0000  0.6667  0.3333
Sn  0.5000  0.0000  0.0000